# Mg2MnHg, optimized geometry, DFT PBEsol
# DFT formation energy = 0.118 eV per atom
data_Mg2MnHg
_space_group_name_H-M_alt 'P 1'
_space_group_IT_number 1
_cell_length_a 4.7240
_cell_length_b 4.6819
_cell_length_c 4.7240
_cell_angle_alpha 59.70
_cell_angle_beta 90.00
_cell_angle_gamma 120.30
loop_
_space_group_symop_operation_xyz
'x,y,z'
loop_
_atom_site_label
_atom_site_fract_x
_atom_site_fract_y
_atom_site_fract_z
Mg1 0.2500 0.5000 0.2500
Mg2 0.7500 0.5000 0.7500
Mn1 0.0000 0.0000 0.0000
Hg1 0.5000 0.0000 0.5000